(1)
# Mg4ScCl (PBE, optimized geometry)
data_Mg4ScCl
_chemical_formula_sum 'Mg4 Sc1 Cl1'
_space_group_name_H-M_alt 'P 1'
_space_group_IT_number 1
_space_group_name_Hall 'P 1'
_cell_length_a 5.9568
_cell_length_b 5.9568
_cell_length_c 5.9568
_cell_angle_alpha 60.00
_cell_angle_beta 60.00
_cell_angle_gamma 60.00
loop_
_atom_site_label
_atom_site_type_symbol
_atom_site_fract_x
_atom_site_fract_y
_atom_site_fract_z
Mg1 Mg 0.1230 0.1230 0.1230
Mg2 Mg 0.1230 0.1230 0.6310
Mg3 Mg 0.1230 0.6310 0.1230
Mg4 Mg 0.6310 0.1230 0.1230
Sc1 Sc 0.7500 0.7500 0.7500
Cl1 Cl 0.5000 0.5000 0.5000
# - symmetry = F-43m (216)
# - ΔE_f (raw) (eV/atom) = 0.058
# - size of the total moment (μB per formula unit) = 0.528
# - calculated density (g/cm³) = 2.0
# - final energy (eV/cell) = -14.207



(2)
# Mg2InGa2Pd5 (PBE, optimized geometry)
data_Mg2InGa2Pd5
_chemical_formula_sum 'Mg4 In2 Ga4 Pd10'
_space_group_name_H-M_alt 'P 1'
_space_group_IT_number 1
_space_group_name_Hall 'P 1'
_cell_length_a 9.5902
_cell_length_b 9.5902
_cell_length_c 3.7093
_cell_angle_alpha 90.00
_cell_angle_beta 90.00
_cell_angle_gamma 90.00
loop_
_atom_site_label
_atom_site_type_symbol
_atom_site_fract_x
_atom_site_fract_y
_atom_site_fract_z
Mg1 Mg 0.1722 0.3278 0.0000
Mg2 Mg 0.3278 0.8278 0.0000
Mg3 Mg 0.6722 0.1722 0.0000
Mg4 Mg 0.8278 0.6722 0.0000
In1 In 0.0000 0.0000 0.0000
In2 In 0.5000 0.5000 0.0000
Ga1 Ga 0.1256 0.6256 0.0000
Ga2 Ga 0.3744 0.1256 0.0000
Ga3 Ga 0.6256 0.8744 0.0000
Ga4 Ga 0.8744 0.3744 0.0000
Pd1 Pd 0.0000 0.5000 0.5000
Pd2 Pd 0.0779 0.7977 0.5000
Pd3 Pd 0.2023 0.0779 0.5000
Pd4 Pd 0.2977 0.5779 0.5000
Pd5 Pd 0.4221 0.2977 0.5000
Pd6 Pd 0.5000 0.0000 0.5000
Pd7 Pd 0.5779 0.7023 0.5000
Pd8 Pd 0.7023 0.4221 0.5000
Pd9 Pd 0.7977 0.9221 0.5000
Pd10 Pd 0.9221 0.2023 0.5000
# - symmetry = P4/mbm (127)
# - size of the total moment (μB per formula unit) = 0.000
# - calculated density (g/cm³) = 8.1
# - formation energy from the elements (eV/atom) = -0.589
# - final energy (eV/cell) = -87.671



The highest calculated density belongs to which entry?
Mg2InGa2Pd5



Please write out number 1 again, unchanged.
# Mg4ScCl (PBE, optimized geometry)
data_Mg4ScCl
_chemical_formula_sum 'Mg4 Sc1 Cl1'
_space_group_name_H-M_alt 'P 1'
_space_group_IT_number 1
_space_group_name_Hall 'P 1'
_cell_length_a 5.9568
_cell_length_b 5.9568
_cell_length_c 5.9568
_cell_angle_alpha 60.00
_cell_angle_beta 60.00
_cell_angle_gamma 60.00
loop_
_atom_site_label
_atom_site_type_symbol
_atom_site_fract_x
_atom_site_fract_y
_atom_site_fract_z
Mg1 Mg 0.1230 0.1230 0.1230
Mg2 Mg 0.1230 0.1230 0.6310
Mg3 Mg 0.1230 0.6310 0.1230
Mg4 Mg 0.6310 0.1230 0.1230
Sc1 Sc 0.7500 0.7500 0.7500
Cl1 Cl 0.5000 0.5000 0.5000
# - symmetry = F-43m (216)
# - ΔE_f (raw) (eV/atom) = 0.058
# - size of the total moment (μB per formula unit) = 0.528
# - calculated density (g/cm³) = 2.0
# - final energy (eV/cell) = -14.207



What is the final energy in the first record?
-14.207 eV/cell



Number 2 is which compound?
Mg2InGa2Pd5